No. 1
# ErAl8Ni3 (PBE-GGA, optimized geometry)
data_ErAl8Ni3
_chemical_formula_sum 'Er2 Al16 Ni6'
_symmetry_space_group_name_H-M 'A m m 2'
_symmetry_Int_Tables_number 38
_cell_length_a 6.971
_cell_length_b 3.821
_cell_length_c 14.624
_cell_angle_alpha 90.00
_cell_angle_beta 90.00
_cell_angle_gamma 90.00
loop_
_symmetry_equiv_pos_as_xyz
'x,y,z'
'-x,-y,z'
'-x,y,z'
'x,-y,z'
'x,y+1/2,z+1/2'
'-x,-y+1/2,z+1/2'
'-x,y+1/2,z+1/2'
'x,-y+1/2,z+1/2'
loop_
_atom_site_label
_atom_site_type_symbol
_atom_site_fract_x
_atom_site_fract_y
_atom_site_fract_z
Er1 Er 0.000 0.000 0.000
Al1 Al 0.000 0.000 0.198
Al2 Al 0.200 0.000 0.805
Al3 Al 0.283 0.000 0.630
Al4 Al 0.309 0.000 0.432
Al5 Al 0.500 0.000 0.046
Ni1 Ni 0.000 0.000 0.359
Ni2 Ni 0.500 0.000 0.218
Ni3 Ni 0.500 0.000 0.882
# formation enthalpy at 0 K: -0.308 eV per atom



No. 2
# Rb2AlAuO4 (PBE-GGA, optimized geometry)
data_Rb2AlAuO4
_chemical_formula_sum 'Rb16 Al8 Au8 O32'
_symmetry_space_group_name_H-M 'F d d d'
_symmetry_Int_Tables_number 70
_cell_length_a 5.771
_cell_length_b 13.629
_cell_length_c 20.077
_cell_angle_alpha 90.00
_cell_angle_beta 90.00
_cell_angle_gamma 90.00
loop_
_symmetry_equiv_pos_as_xyz
'x,y,z'
'-x,-y,-z'
'-x+1/4,-y+1/4,z'
'x+1/4,y+1/4,-z'
'x,-y+1/4,-z+1/4'
'-x,y+1/4,z+1/4'
'-x+1/4,y,-z+1/4'
'x+1/4,-y,z+1/4'
'x,y+1/2,z+1/2'
'-x,-y+1/2,-z+1/2'
'-x+1/4,-y+3/4,z+1/2'
'x+1/4,y+3/4,-z+1/2'
'x,-y+3/4,-z+3/4'
'-x,y+3/4,z+3/4'
'-x+1/4,y+1/2,-z+3/4'
'x+1/4,-y+1/2,z+3/4'
'x+1/2,y,z+1/2'
'-x+1/2,-y,-z+1/2'
'-x+3/4,-y+1/4,z+1/2'
'x+3/4,y+1/4,-z+1/2'
'x+1/2,-y+1/4,-z+3/4'
'-x+1/2,y+1/4,z+3/4'
'-x+3/4,y,-z+3/4'
'x+3/4,-y,z+3/4'
'x+1/2,y+1/2,z'
'-x+1/2,-y+1/2,-z'
'-x+3/4,-y+3/4,z'
'x+3/4,y+3/4,-z'
'x+1/2,-y+3/4,-z+1/4'
'-x+1/2,y+3/4,z+1/4'
'-x+3/4,y+1/2,-z+1/4'
'x+3/4,-y+1/2,z+1/4'
loop_
_atom_site_label
_atom_site_type_symbol
_atom_site_fract_x
_atom_site_fract_y
_atom_site_fract_z
Rb1 Rb 0.125 0.125 0.302
Al1 Al 0.125 0.125 0.125
Au1 Au 0.125 0.125 0.625
O1 O 0.099 0.282 0.382
# formation energy without anion corrections: -1405 meV/atom



No. 3
# Ba2Si3Pd5 (PBE-GGA, optimized geometry)
data_Ba2Si3Pd5
_chemical_formula_sum 'Ba8 Si12 Pd20'
_symmetry_space_group_name_H-M 'I b a m'
_symmetry_Int_Tables_number 72
_symmetry_space_group_name_Hall '-I 2 2c'
_cell_length_a 9.940
_cell_length_b 12.940
_cell_length_c 6.458
_cell_angle_alpha 90.00
_cell_angle_beta 90.00
_cell_angle_gamma 90.00
loop_
_atom_site_label
_atom_site_type_symbol
_atom_site_fract_x
_atom_site_fract_y
_atom_site_fract_z
Ba1 Ba 0.245 0.135 0.000
Si1 Si 0.000 0.000 0.250
Si2 Si 0.116 0.383 0.000
Pd1 Pd 0.000 0.273 0.250
Pd2 Pd 0.000 0.500 0.250
Pd3 Pd 0.125 0.107 0.500
# formation energy without anion corrections: -634 meV/atom



No. 4
# Mo3Pt7 (PBE-GGA, optimized geometry)
data_Mo3Pt7
_chemical_formula_sum 'Mo6 Pt14'
_symmetry_space_group_name_H-M 'P -1'
_symmetry_Int_Tables_number 2
_cell_length_a 4.868
_cell_length_b 7.398
_cell_length_c 9.235
_cell_angle_alpha 106.40
_cell_angle_beta 99.02
_cell_angle_gamma 96.52
loop_
_symmetry_equiv_pos_as_xyz
'x,y,z'
'-x,-y,-z'
loop_
_atom_site_label
_atom_site_type_symbol
_atom_site_fract_x
_atom_site_fract_y
_atom_site_fract_z
Mo1 Mo 0.068 0.296 0.324
Mo2 Mo 0.177 0.703 0.427
Mo3 Mo 0.423 0.704 0.177
Pt1 Pt 0.020 0.101 0.773
Pt2 Pt 0.115 0.492 0.866
Pt3 Pt 0.222 0.892 0.975
Pt4 Pt 0.278 0.106 0.529
Pt5 Pt 0.331 0.308 0.076
Pt6 Pt 0.364 0.495 0.617
Pt7 Pt 0.470 0.894 0.722
# formation enthalpy at 0 K: -0.285 eV per atom



Repeat the second record exactly.
# Rb2AlAuO4 (PBE-GGA, optimized geometry)
data_Rb2AlAuO4
_chemical_formula_sum 'Rb16 Al8 Au8 O32'
_symmetry_space_group_name_H-M 'F d d d'
_symmetry_Int_Tables_number 70
_cell_length_a 5.771
_cell_length_b 13.629
_cell_length_c 20.077
_cell_angle_alpha 90.00
_cell_angle_beta 90.00
_cell_angle_gamma 90.00
loop_
_symmetry_equiv_pos_as_xyz
'x,y,z'
'-x,-y,-z'
'-x+1/4,-y+1/4,z'
'x+1/4,y+1/4,-z'
'x,-y+1/4,-z+1/4'
'-x,y+1/4,z+1/4'
'-x+1/4,y,-z+1/4'
'x+1/4,-y,z+1/4'
'x,y+1/2,z+1/2'
'-x,-y+1/2,-z+1/2'
'-x+1/4,-y+3/4,z+1/2'
'x+1/4,y+3/4,-z+1/2'
'x,-y+3/4,-z+3/4'
'-x,y+3/4,z+3/4'
'-x+1/4,y+1/2,-z+3/4'
'x+1/4,-y+1/2,z+3/4'
'x+1/2,y,z+1/2'
'-x+1/2,-y,-z+1/2'
'-x+3/4,-y+1/4,z+1/2'
'x+3/4,y+1/4,-z+1/2'
'x+1/2,-y+1/4,-z+3/4'
'-x+1/2,y+1/4,z+3/4'
'-x+3/4,y,-z+3/4'
'x+3/4,-y,z+3/4'
'x+1/2,y+1/2,z'
'-x+1/2,-y+1/2,-z'
'-x+3/4,-y+3/4,z'
'x+3/4,y+3/4,-z'
'x+1/2,-y+3/4,-z+1/4'
'-x+1/2,y+3/4,z+1/4'
'-x+3/4,y+1/2,-z+1/4'
'x+3/4,-y+1/2,z+1/4'
loop_
_atom_site_label
_atom_site_type_symbol
_atom_site_fract_x
_atom_site_fract_y
_atom_site_fract_z
Rb1 Rb 0.125 0.125 0.302
Al1 Al 0.125 0.125 0.125
Au1 Au 0.125 0.125 0.625
O1 O 0.099 0.282 0.382
# formation energy without anion corrections: -1405 meV/atom